## In2FeTeO6 (GGA+U)

Data for an optimized crystal structure of In2FeTeO6.

abc: 5.644 5.593 5.804
angles: 62.30 61.27 60.34
Element x y z (fractional)
In1 0.525 0.533 0.414
In2 0.022 0.021 0.934
Fe1 0.814 0.813 0.565
Te1 0.317 0.313 0.056
O1 0.629 0.218 0.244
O2 0.211 0.908 0.252
O3 0.901 0.636 0.261
O4 0.412 0.694 0.765
O5 0.701 0.118 0.763
O6 0.131 0.408 0.761

Properties
**Space group**: P1
**Fermi-level density of states**: 0.0 states/eV per cell
**Total energy**: -56.9 eV per cell